The following is a DFT calculation (PBE+U) of a relaxed structure of LaMnClO2.

Unit cell a=6.9545 b=3.6166 c=7.4205 alpha=90.00 beta=106.29 gamma=90.00
With the nearest neighbours (Å) after each atom.
Space group P2_1/m (No. 11)
Symmetry-distinct sites (fractional):
La 0.1798 0.2500 0.2036 [2 per cell]  5 O 2.35-2.49
Mn 0.3365 0.2500 0.8467 [2 per cell]  2 O 2.03-2.05
Cl 0.2957 0.7500 0.5699 [2 per cell]  2 Mn 2.69
O 0.0451 0.2500 0.8569 [2 per cell]  1 Mn 2.05
O 0.3600 0.7500 0.0856 [2 per cell]  1 Mn 2.03

Output
Energy in eV per atom: -7.26